! PBE RbTlTcO5, optimized geometry; values from VASP
! DOS(E_F): 5.06 states/eV/cell
! ΔE_f (raw): -1.32 eV per atom
! Calculated volume: 21.09 Å³/atom
! Magnetic moment: 0.00 Bohr magnetons per cell
! Energy: -98.1 eV per cell
&SYSTEM
  ibrav = 0, nat = 16, ntyp = 4
/
ATOMIC_SPECIES
Rb 85.47 Rb.upf
Tl 204.38 Tl.upf
Tc 98.00 Tc.upf
O 16.00 O.upf
CELL_PARAMETERS angstrom
-6.677 -1.292 0.851
3.424 -3.774 4.583
0.632 7.326 3.162
ATOMIC_POSITIONS crystal
Rb 0.324 0.676 0.250
Rb 0.676 0.324 0.750
Tl 0.000 0.000 0.500
Tl 0.000 0.000 0.000
Tc 0.677 0.323 0.250
Tc 0.323 0.677 0.750
O 0.067 0.933 0.250
O 0.933 0.067 0.750
O 0.882 0.343 0.146
O 0.118 0.657 0.854
O 0.657 0.118 0.354
O 0.343 0.882 0.646
O 0.730 0.560 0.412
O 0.270 0.440 0.588
O 0.440 0.270 0.088
O 0.560 0.730 0.912

---

! PBE Rb3BaRe, optimized geometry; values from VASP
! Energy relative to the lowest polymorph listed for this composition: 11.393 kcal/mol of atoms
! DOS(E_F): 16.41 states/eV/cell
! Calculated volume: 124.62 Å³/atom
! Formation enthalpy at 0 K: 1900 meV per atom
! Magnetic moment: 3.92 Bohr magnetons per cell
! Energy: -7.8 eV per cell
&SYSTEM
  ibrav = 0, nat = 5, ntyp = 3
/
ATOMIC_SPECIES
Re 186.21 Re.upf
Ba 137.33 Ba.upf
Rb 85.47 Rb.upf
CELL_PARAMETERS angstrom
8.541 0.000 0.000
0.000 8.541 0.000
0.000 0.000 8.541
ATOMIC_POSITIONS crystal
Re 0.500 0.500 0.500
Ba 0.000 0.000 0.000
Rb 0.000 0.500 0.000
Rb 0.000 0.000 0.500
Rb 0.500 0.000 0.000

---

! PBE CuPRu2, optimized geometry; values from VASP
! DOS(E_F): 1.95 states/eV/cell
! Calculated volume: 13.55 Å³/atom
! Formation enthalpy at 0 K: -14 meV per atom
! Magnetic moment: 0.00 Bohr magnetons per cell
! Energy: -28.1 eV per cell
&SYSTEM
  ibrav = 0, nat = 4, ntyp = 3
/
ATOMIC_SPECIES
Cu 63.55 Cu.upf
P 30.97 P.upf
Ru 101.07 Ru.upf
CELL_PARAMETERS angstrom
-0.602 -0.070 3.896
2.085 -0.779 3.254
1.588 4.853 1.284
ATOMIC_POSITIONS crystal
Cu 0.750 0.750 0.750
P 0.250 0.250 0.250
Ru 0.992 0.992 0.032
Ru 0.508 0.508 0.468

---

! PBE HoZn2Ni8, optimized geometry; values from VASP
! DOS(E_F): 18.80 states/eV/cell
! Calculated volume: 15.15 Å³/atom
! Formation enthalpy at 0 K: 305 meV per atom
! Magnetic moment: 2.97 Bohr magnetons per cell
! Energy: -50.0 eV per cell
&SYSTEM
  ibrav = 0, nat = 11, ntyp = 3
/
ATOMIC_SPECIES
Ho 164.93 Ho.upf
Zn 65.41 Zn.upf
Ni 58.69 Ni.upf
CELL_PARAMETERS angstrom
-4.721 -2.108 -2.860
-1.551 -3.055 4.813
-2.582 3.713 1.525
ATOMIC_POSITIONS crystal
Ho 0.500 0.500 0.500
Zn 0.500 0.000 0.000
Zn 0.000 0.500 0.000
Ni 0.803 0.803 0.257
Ni 0.803 0.197 0.743
Ni 0.803 0.803 0.743
Ni 0.803 0.197 0.257
Ni 0.197 0.803 0.257
Ni 0.197 0.803 0.743
Ni 0.197 0.197 0.257
Ni 0.197 0.197 0.743

---

! PBE Be2Cl, optimized geometry; values from VASP
! Energy relative to the lowest polymorph listed for this composition: 10.396 kcal/mol of atoms
! DOS(E_F): 1.35 states/eV/cell
! ΔE_f (raw): 0.12 eV per atom
! Calculated volume: 14.06 Å³/atom
! Magnetic moment: 0.00 Bohr magnetons per cell
! Energy: -17.9 eV per cell
&SYSTEM
  ibrav = 0, nat = 6, ntyp = 2
/
ATOMIC_SPECIES
Be 9.01 Be.upf
Cl 35.45 Cl.upf
CELL_PARAMETERS angstrom
1.241 -5.032 -1.630
3.765 -3.688 -1.319
1.310 -3.550 4.702
ATOMIC_POSITIONS crystal
Be 0.295 0.295 0.818
Be 0.837 0.837 0.441
Be 0.705 0.705 0.182
Be 0.163 0.163 0.559
Cl 0.492 0.492 0.252
Cl 0.508 0.508 0.748

---

! PBE CsCd3Rh, optimized geometry; values from VASP
! Energy relative to the lowest polymorph listed for this composition: 1.926 kcal/mol of atoms
! DOS(E_F): 3.22 states/eV/cell
! Calculated volume: 31.31 Å³/atom
! Formation enthalpy at 0 K: -14 meV per atom
! Magnetic moment: 0.00 Bohr magnetons per cell
! Energy: -22.0 eV per cell
&SYSTEM
  ibrav = 0, nat = 10, ntyp = 3
/
ATOMIC_SPECIES
Cs 132.91 Cs.upf
Rh 102.91 Rh.upf
Cd 112.41 Cd.upf
CELL_PARAMETERS angstrom
-8.871 0.612 4.312
-2.451 -2.067 -6.670
-1.469 -4.521 0.246
ATOMIC_POSITIONS crystal
Cs 0.017 0.625 0.413
Cs 0.461 0.845 0.583
Rh 0.021 0.134 0.659
Rh 0.755 0.221 0.749
Cd 0.779 0.840 0.926
Cd 0.872 0.146 0.228
Cd 0.312 0.327 0.417
Cd 0.174 0.146 0.077
Cd 0.673 0.420 0.190
Cd 0.491 0.302 0.840